Entry from the Alexandria database: a geometry-optimized LiCrPO4 structure (GGA+U).

a = 5.5785 Å, b = 8.2810 Å, c = 6.4681 Å
α = 90.00°, β = 90.00°, γ = 90.00°
With the nearest neighbours (Å) after each atom.
Space group Cmcm (No. 63)
Symmetry-distinct sites (fractional):
Li  0.0000  0.0000  0.0000  6 O 2.06-2.24
Cr  0.0000  0.2918  0.2500  2 O 2.03
P  0.0000  0.3552  0.7500  4 O 1.55-1.56
O  0.0000  0.2443  0.5572  1 P 1.55
O  0.2278  0.4645  0.7500  1 P 1.56

Computed properties:
Electronic total energy (eV for the cell shown): -197.5
Excess energy over the best structure of this formula in the dataset (eV per formula unit): 0.540
Spin magnetization (μB/cell): 16.00
ρ (g/cm3): 3.42